1.
# Co2NiRh GGA-PBEsol relaxed
data_Co2NiRh
_space_group_name_H-M_alt 'P 1'
_space_group_IT_number 1
_cell_length_a 2.547
_cell_length_b 2.547
_cell_length_c 6.990
_cell_angle_alpha 90.00
_cell_angle_beta 90.00
_cell_angle_gamma 90.00
loop_
_space_group_symop_operation_xyz
'x,y,z'
loop_
_atom_site_label
_atom_site_fract_x
_atom_site_fract_y
_atom_site_fract_z
Co1 0.000 0.000 0.000
Co2 0.500 0.500 0.232
Ni1 0.000 0.000 0.471
Rh1 0.500 0.500 0.737
# DFT formation energy: 0.24 eV/f.u.

2.
# CoNiRh GGA-PBEsol relaxed
data_CoNiRh
_space_group_name_H-M_alt 'P 1'
_space_group_IT_number 1
_cell_length_a 5.587
_cell_length_b 5.587
_cell_length_c 5.587
_cell_angle_alpha 153.41
_cell_angle_beta 153.41
_cell_angle_gamma 37.95
loop_
_space_group_symop_operation_xyz
'x,y,z'
loop_
_atom_site_label
_atom_site_fract_x
_atom_site_fract_y
_atom_site_fract_z
Co1 0.000 0.000 0.000
Ni1 0.656 0.656 0.000
Rh1 0.331 0.331 0.000
# DFT formation energy: 0.19 eV/f.u.
# ΔE to the lowest computed polymorph: 3 meV per atom

We obtain total magnetization values of 4.5 3.0 μB/cell for the records listed above, in that order.